Record 1
This record from the Alexandria database describes a relaxed Nb3Ga2Au crystal. The functional is PBE-GGA.

Structure (POSCAR):
```
Nb3Ga2Au
1.0
4.145 0.000 0.000
0.000 11.581 0.000
0.000 0.000 4.273
Nb Ga Au
6 4 2
direct
0.000 0.000 0.000
0.000 0.330 0.000
0.000 0.670 0.000
0.500 0.170 0.000
0.500 0.500 0.000
0.500 0.830 0.000
0.000 0.163 0.500
0.000 0.837 0.500
0.500 0.337 0.500
0.500 0.663 0.500
0.000 0.500 0.500
0.500 0.000 0.500
```

- Final energy: -82.07 eV for the cell shown
- Calculated volume: 17.1 Å³ per atom


Record 2
This record from the Alexandria database describes a relaxed Tb2Tm15Th2 crystal. The functional is PBE-GGA.

Structure (POSCAR):
```
Tb2Tm15Th2
1.0
5.499 3.175 5.865
-5.499 3.175 5.865
0.000 -6.350 5.865
Tb Tm Th
2 15 2
direct
0.181 0.181 0.181
0.819 0.819 0.819
0.000 0.500 0.500
0.134 0.134 0.645
0.134 0.645 0.134
0.199 0.500 0.801
0.199 0.801 0.500
0.355 0.866 0.866
0.500 0.000 0.500
0.500 0.199 0.801
0.500 0.500 0.000
0.500 0.801 0.199
0.645 0.134 0.134
0.801 0.199 0.500
0.801 0.500 0.199
0.866 0.355 0.866
0.866 0.866 0.355
0.410 0.410 0.410
0.590 0.590 0.590
```

- Final energy: -85.68 eV for the cell shown
- Calculated volume: 32.3 Å³ per atom


Record 3
This record from the Alexandria database describes a relaxed ThGe2 crystal. The functional is PBE-GGA.

Structure (POSCAR):
```
ThGe2
1.0
4.070 0.000 0.000
0.000 4.070 0.000
0.000 0.000 16.768
Th Ge
4 8
direct
0.000 0.250 0.375
0.000 0.750 0.625
0.500 0.250 0.125
0.500 0.750 0.875
0.000 0.250 0.795
0.000 0.250 0.955
0.000 0.750 0.045
0.000 0.750 0.205
0.500 0.250 0.545
0.500 0.250 0.705
0.500 0.750 0.295
0.500 0.750 0.455
```

- Final energy: -72.92 eV for the cell shown
- Calculated volume: 23.1 Å³ per atom


Record 4
This record from the Alexandria database describes a relaxed YCr2Cd crystal. The functional is PBE-GGA.

Structure (POSCAR):
```
YCr2Cd
1.0
3.092 0.000 0.000
-1.546 2.678 0.000
0.000 0.000 27.442
Y Cr Cd
3 6 3
direct
0.000 0.000 0.000
0.333 0.667 0.667
0.667 0.333 0.333
0.000 0.000 0.244
0.000 0.000 0.524
0.333 0.667 0.191
0.333 0.667 0.911
0.667 0.333 0.577
0.667 0.333 0.858
0.000 0.000 0.771
0.333 0.667 0.438
0.667 0.333 0.105
```

- Final energy: -74.00 eV for the cell shown
- Calculated volume: 18.9 Å³ per atom


Record 5
This record from the Alexandria database describes a relaxed HfInH2Br crystal. The functional is PBE-GGA.

Structure (POSCAR):
```
HfInH2Br
1.0
4.144 0.000 0.000
0.000 4.144 0.000
0.000 0.000 5.332
Hf In H Br
1 1 2 1
direct
0.000 0.000 0.000
0.500 0.500 0.000
0.000 0.500 0.500
0.500 0.000 0.500
0.000 0.000 0.500
```

- Final energy: -17.11 eV for the cell shown
- Calculated volume: 18.3 Å³ per atom


Record 6
This record from the Alexandria database describes a relaxed Tm3Zn2Hg6 crystal. The functional is PBE-GGA.

Structure (POSCAR):
```
Tm3Zn2Hg6
1.0
-2.094 2.094 15.172
2.094 -2.094 15.172
2.094 2.094 -15.172
Tm Zn Hg
3 2 6
direct
0.000 0.000 0.000
0.170 0.170 0.000
0.830 0.830 0.000
0.360 0.360 0.000
0.640 0.640 0.000
0.076 0.576 0.500
0.272 0.272 0.000
0.424 0.924 0.500
0.576 0.076 0.500
0.728 0.728 0.000
0.924 0.424 0.500
```

- Final energy: -19.50 eV for the cell shown
- Calculated volume: 24.2 Å³ per atom